Entry 1:
La2CoSbN | Alexandria via LeMat-Bulk | GGA-PBE | relaxed; formation energy (no corrections) = -0.86 eV/atom; magnetization = 0.0 μB/cell; DOS(E_F) = 2.500 states/eV/f.u.
1.0
5.457 0.000 0.000
0.000 5.457 0.000
0.000 0.000 3.655
La Co Sb N
2 1 1 1
direct
0.000 0.500 0.000
0.500 0.000 0.000
0.000 0.000 0.500
0.500 0.500 0.500
0.000 0.000 0.000



Entry 2:
LaSc2CoN | Alexandria via LeMat-Bulk | GGA-PBE | relaxed; formation energy (no corrections) = 1.32 eV/atom; magnetization = 1.1 μB/cell; DOS(E_F) = 5.660 states/eV/f.u.
1.0
5.518 0.000 0.000
0.000 5.518 0.000
0.000 0.000 4.081
La Sc Co N
1 2 1 1
direct
0.000 0.000 0.000
0.000 0.500 0.000
0.500 0.000 0.000
0.500 0.500 0.500
0.000 0.000 0.500



Entry 3:
LaCoSeN2 | Alexandria via LeMat-Bulk | GGA-PBE | relaxed; E above lowest polymorph = 1092 meV per atom; formation energy (no corrections) = 1.13 eV/atom; magnetization = 2.6 μB/cell; DOS(E_F) = 7.549 states/eV/f.u.
1.0
4.084 0.000 0.000
0.000 4.084 0.000
0.000 0.000 6.481
La Co Se N
1 1 1 2
direct
0.000 0.000 0.000
0.500 0.500 0.500
0.000 0.000 0.500
0.000 0.500 0.000
0.500 0.000 0.000



Entry 4:
LaCoSeN2 | Alexandria via LeMat-Bulk | GGA-PBE | relaxed; E above lowest polymorph = 0 meV per atom; formation energy (no corrections) = 0.04 eV/atom; magnetization = 2.8 μB/cell; DOS(E_F) = 2.208 states/eV/f.u.
1.0
4.025 0.000 0.000
0.000 4.025 0.000
0.000 0.000 4.724
La Co Se N
1 1 1 2
direct
0.000 0.000 0.000
0.500 0.500 0.500
0.500 0.500 0.000
0.000 0.500 0.500
0.500 0.000 0.500



Entry 5:
LaCo2SiN | Alexandria via LeMat-Bulk | GGA-PBE | relaxed; E above lowest polymorph = 999 meV per atom; formation energy (no corrections) = 0.26 eV/atom; magnetization = 2.1 μB/cell; DOS(E_F) = 4.079 states/eV/f.u.
1.0
4.451 0.000 0.000
0.000 4.451 0.000
0.000 0.000 3.873
La Co Si N
1 2 1 1
direct
0.000 0.000 0.000
0.000 0.500 0.500
0.500 0.000 0.500
0.500 0.500 0.500
0.500 0.500 0.000



Entry 6:
LaCo2SiN | Alexandria via LeMat-Bulk | GGA-PBE | relaxed; E above lowest polymorph = 0 meV per atom; formation energy (no corrections) = -0.74 eV/atom; magnetization = 2.0 μB/cell; DOS(E_F) = 4.373 states/eV/f.u.
1.0
1.885 -5.460 0.000
1.885 5.460 0.000
0.000 0.000 6.835
La Co Si N
2 4 2 2
direct
0.049 0.951 0.750
0.951 0.049 0.250
0.335 0.665 0.556
0.335 0.665 0.944
0.665 0.335 0.056
0.665 0.335 0.444
0.226 0.774 0.250
0.774 0.226 0.750
0.500 0.500 0.000
0.500 0.500 0.500



Entry 7:
La2CoSnN | Alexandria via LeMat-Bulk | GGA-PBE | relaxed; formation energy (no corrections) = -0.70 eV/atom; magnetization = 0.0 μB/cell; DOS(E_F) = 4.629 states/eV/f.u.
1.0
5.528 0.000 0.000
0.000 5.528 0.000
0.000 0.000 3.601
La Co Sn N
2 1 1 1
direct
0.000 0.500 0.000
0.500 0.000 0.000
0.000 0.000 0.500
0.500 0.500 0.500
0.000 0.000 0.000



Entry 8:
La6CoSn2N | Alexandria via LeMat-Bulk | GGA-PBE | relaxed; formation energy (no corrections) = -0.63 eV/atom; magnetization = 0.0 μB/cell; DOS(E_F) = 11.978 states/eV/f.u.
1.0
-3.737 3.737 5.199
3.737 -3.737 5.199
3.737 3.737 -5.199
La Co Sn N
6 1 2 1
direct
0.240 0.240 0.480
0.240 0.760 0.000
0.249 0.249 0.000
0.751 0.751 0.000
0.760 0.240 0.000
0.760 0.760 0.520
0.500 0.500 0.000
0.250 0.750 0.500
0.750 0.250 0.500
0.000 0.000 0.000



Entry 9:
LaCo2SnN | Alexandria via LeMat-Bulk | GGA-PBE | relaxed; formation energy (no corrections) = -0.54 eV/atom; magnetization = 0.0 μB/cell; DOS(E_F) = 3.144 states/eV/f.u.
1.0
2.020 -5.888 0.000
2.020 5.888 0.000
0.000 0.000 6.972
La Co Sn N
2 4 2 2
direct
0.051 0.949 0.750
0.949 0.051 0.250
0.356 0.644 0.559
0.356 0.644 0.941
0.644 0.356 0.059
0.644 0.356 0.441
0.227 0.773 0.250
0.773 0.227 0.750
0.500 0.500 0.000
0.500 0.500 0.500



Entry 10:
SrLaCoN2 | Alexandria via LeMat-Bulk | GGA-PBE | relaxed; formation energy (no corrections) = -0.62 eV/atom; magnetization = 4.0 μB/cell; DOS(E_F) = 0.799 states/eV/f.u.
1.0
5.378 0.000 0.000
0.000 5.396 0.000
-0.015 0.000 7.091
Sr La Co N
2 2 2 4
direct
0.000 0.001 0.250
0.000 0.999 0.750
0.500 0.499 0.750
0.500 0.501 0.250
0.500 0.000 0.000
0.500 0.000 0.500
0.285 0.254 0.000
0.285 0.746 0.500
0.715 0.254 0.500
0.715 0.746 0.000



Entry 11:
LaTa2CoN | Alexandria via LeMat-Bulk | GGA-PBE | relaxed; formation energy (no corrections) = 1.29 eV/atom; magnetization = 0.0 μB/cell; DOS(E_F) = 4.709 states/eV/f.u.
1.0
4.420 0.000 0.000
0.000 4.420 0.000
0.000 0.000 5.820
La Ta Co N
1 2 1 1
direct
0.000 0.000 0.000
0.000 0.500 0.500
0.500 0.000 0.500
0.000 0.000 0.500
0.500 0.500 0.000



Entry 12:
LaTiCoN2 | Alexandria via LeMat-Bulk | GGA-PBE | relaxed; formation energy (no corrections) = 1.42 eV/atom; magnetization = 0.0 μB/cell; DOS(E_F) = 5.856 states/eV/f.u.
1.0
4.204 0.000 0.000
0.000 4.204 0.000
0.000 0.000 4.792
La Ti Co N
1 1 1 2
direct
0.000 0.000 0.000
0.500 0.500 0.500
0.000 0.000 0.500
0.000 0.500 0.000
0.500 0.000 0.000



Entry 13:
La6Tl2CoN | Alexandria via LeMat-Bulk | GGA-PBE | relaxed; formation energy (no corrections) = -0.46 eV/atom; magnetization = 0.0 μB/cell; DOS(E_F) = 11.440 states/eV/f.u.
1.0
-3.756 3.756 5.236
3.756 -3.756 5.236
3.756 3.756 -5.236
La Tl Co N
6 2 1 1
direct
0.239 0.239 0.477
0.239 0.761 0.000
0.248 0.248 0.000
0.752 0.752 0.000
0.761 0.239 0.000
0.761 0.761 0.523
0.250 0.750 0.500
0.750 0.250 0.500
0.500 0.500 0.000
0.000 0.000 0.000



Entry 14:
La2TlCoN | Alexandria via LeMat-Bulk | GGA-PBE | relaxed; formation energy (no corrections) = -0.56 eV/atom; magnetization = 0.0 μB/cell; DOS(E_F) = 4.136 states/eV/f.u.
1.0
5.502 0.000 0.000
0.000 5.502 0.000
0.000 0.000 3.629
La Tl Co N
2 1 1 1
direct
0.000 0.500 0.000
0.500 0.000 0.000
0.000 0.000 0.500
0.500 0.500 0.500
0.500 0.500 0.000



Entry 15:
La2ZnCoN | Alexandria via LeMat-Bulk | GGA-PBE | relaxed; formation energy (no corrections) = -0.60 eV/atom; magnetization = 0.3 μB/cell; DOS(E_F) = 5.311 states/eV/f.u.
1.0
5.300 0.000 0.000
0.000 5.300 0.000
0.000 0.000 3.617
La Zn Co N
2 1 1 1
direct
0.000 0.500 0.000
0.500 0.000 0.000
0.000 0.000 0.500
0.500 0.500 0.500
0.500 0.500 0.000



Entry 16:
NaLa2Co | Alexandria via LeMat-Bulk | GGA-PBE | relaxed; E above lowest polymorph = 0 meV per atom; magnetization = 0.0 μB/cell; E_form = -0.0626 eV/atom; DOS(E_F) = 3.305 states/eV/f.u.
1.0
2.015 1.164 9.533
-2.015 1.164 9.533
0.000 -2.327 9.533
Na La Co
1 2 1
direct
0.000 0.000 0.000
0.552 0.552 0.552
0.781 0.781 0.781
0.166 0.166 0.166



Entry 17:
NaLa2Co2 | Alexandria via LeMat-Bulk | GGA-PBE | relaxed; E above lowest polymorph = 28 meV per atom; magnetization = 0.0 μB/cell; E_form = 0.1676 eV/atom; DOS(E_F) = 4.576 states/eV/f.u.
1.0
-1.873 1.873 10.013
1.873 -1.873 10.013
1.873 1.873 -10.013
Na La Co
1 2 2
direct
0.000 0.000 0.000
0.344 0.344 0.000
0.656 0.656 0.000
0.250 0.750 0.500
0.750 0.250 0.500



Entry 18:
NaLaCo2 | Alexandria via LeMat-Bulk | GGA-PBE | relaxed; E above lowest polymorph = 130 meV per atom; magnetization = 3.9 μB/cell; E_form = 0.7077 eV/atom; DOS(E_F) = 6.773 states/eV/f.u.
1.0
-3.742 3.742 2.788
3.742 -3.742 2.788
3.742 3.742 -2.788
Na La Co
2 2 4
direct
0.000 0.000 0.000
0.750 0.250 0.500
0.250 0.750 0.500
0.500 0.500 0.000
0.128 0.625 0.003
0.375 0.378 0.503
0.622 0.125 0.997
0.875 0.872 0.497



Entry 19:
NaLa2Co | Alexandria via LeMat-Bulk | GGA-PBE | relaxed; E above lowest polymorph = 85 meV per atom; magnetization = 0.0 μB/cell; E_form = 0.0228 eV/atom; DOS(E_F) = 4.676 states/eV/f.u.
1.0
3.528 0.000 0.000
0.000 3.528 0.000
0.000 0.000 9.588
Na La Co
1 2 1
direct
0.000 0.000 0.000
0.500 0.500 0.330
0.500 0.500 0.670
0.000 0.000 0.500



Entry 20:
NaLa2Co | Alexandria via LeMat-Bulk | GGA-PBE | relaxed; E above lowest polymorph = 294 meV per atom; magnetization = 0.0 μB/cell; E_form = 0.2315 eV/atom; DOS(E_F) = 6.729 states/eV/f.u.
1.0
-4.125 4.125 3.658
4.125 -4.125 3.658
4.125 4.125 -3.658
Na La Co
2 4 2
direct
0.000 0.000 0.000
0.750 0.250 0.500
0.216 0.625 0.091
0.375 0.466 0.591
0.534 0.125 0.909
0.875 0.784 0.409
0.250 0.750 0.500
0.500 0.500 0.000